Below is a relaxed structure of ScBeBr, with properties calculated at the GGA-PBE level.

Geometry as POSCAR:
```
ScBeBr
1.0
6.382 -0.006 0.007
5.500 3.237 -0.001
0.882 0.246 3.234
Br Sc Be
1 1 1
direct
0.294 0.294 0.706
0.660 0.660 0.340
0.046 0.046 0.954
```

The space-group type is I4mm. The value obtained for the total energy is -3.994 eV per atom. For the uncorrected formation energy, the calculation gives -0.0841 eV/atom. The energy above the most stable polymorph in this dataset comes out at 46.2 meV/atom.